Compound: HgBPt3
Source: the Alexandria database
Functional: PBE
Structure: optimized geometry

abc: 5.811 5.757 5.748
angles: 120.05 72.17 90.00
Atoms (fractional coordinates):
Pt: 0.242 0.232 0.019
Pt: 0.250 0.222 0.512
Pt: 0.250 0.734 0.512
Pt: 0.769 0.619 0.306
Pt: 0.777 0.122 0.799
B: 0.506 0.342 0.238
Hg: 0.791 0.621 0.798
B: 0.513 0.012 0.580
Pt: 0.769 0.131 0.306
Hg: 0.228 0.733 0.020

Calculated values
- Space-group type: No. 12
- ΔE to the lowest computed polymorph: 0.008 eV per atom

Compound: HgB2Pt
Source: the Alexandria database
Functional: PBE
Structure: optimized geometry

abc: 5.159 5.159 6.141
angles: 65.16 65.16 90.00
Atoms (fractional coordinates):
B: 0.185 0.625 0.250
Hg: 0.000 0.000 0.000
Pt: 0.250 0.750 0.500
Hg: 0.750 0.250 0.500
B: 0.875 0.815 0.750
B: 0.375 0.435 0.750
Pt: 0.500 0.500 0.000
B: 0.565 0.125 0.250

Calculated values
- Space-group type: No. 122

no.,magnetization (Bohr magnetons per cell),formation energy (eV per formula unit)
1,0.00,-1.0
2,0.00,2.5